No. 1
# Ca2CdIr PBEsol optimized geometry
data_Ca2CdIr
_cell_length_a 7.6339
_cell_length_b 3.2003
_cell_length_c 8.2420
_cell_angle_alpha 90.00
_cell_angle_beta 97.40
_cell_angle_gamma 90.00
_space_group_name_H-M_alt 'C 1 2/m 1'
_space_group_IT_number 12
_space_group_name_Hall '-C 2y'
loop_
_atom_site_label
_atom_site_type_symbol
_atom_site_fract_x
_atom_site_fract_y
_atom_site_fract_z
Ca1 Ca 0.2398 0.0000 0.1990
Cd1 Cd 0.0000 0.0000 0.5000
Ir1 Ir 0.0000 0.5000 0.0000
# * D(E_F): 0.486 states/eV per atom
# * ΔE_f: -0.03 eV per formula unit
# * ρ: 6.40 g/cm³
# * spin magnetization: 0.00 Bohr magnetons per cell
# * raw total energy: -3.8288 eV per atom

---

No. 2
# Ba2Eu3Si7 PBEsol optimized geometry
data_Ba2Eu3Si7
_cell_length_a 9.1365
_cell_length_b 9.1365
_cell_length_c 4.0449
_cell_angle_alpha 90.00
_cell_angle_beta 90.00
_cell_angle_gamma 120.00
_space_group_name_H-M_alt 'P -6 2 m'
_space_group_IT_number 189
_space_group_name_Hall 'P -6 -2'
loop_
_atom_site_label
_atom_site_type_symbol
_atom_site_fract_x
_atom_site_fract_y
_atom_site_fract_z
Ba1 Ba 0.3333 0.6667 0.0000
Eu1 Eu 0.0000 0.2529 0.5000
Si1 Si 0.0000 0.0000 0.0000
Si2 Si 0.0000 0.5972 0.5000
Si3 Si 0.0000 0.7411 0.0000
# * D(E_F): 2.131 states/eV per atom
# * ρ: 5.27 g/cm³
# * spin magnetization: 21.09 Bohr magnetons per cell
# * uncorrected formation energy: -0.58 eV/atom
# * raw total energy: -6.9333 eV per atom